Record 1
A plane-wave DFT calculation with PBE was carried out for crystalline PmDy2Te2 at its relaxed geometry.

Cell and atoms, written as POSCAR:
```
PmDy2Te2
1.0
-0.2052 3.9153 2.5334
-0.6620 -1.7839 4.2626
6.8633 0.2912 2.7727
Pm Dy Te
1 2 2
direct
0.0000 0.0000 0.0000
0.2476 0.7524 0.5000
0.7524 0.2476 0.5000
0.3275 0.3275 0.2105
0.6725 0.6725 0.7895
```

Summary:
The space group is C2/m. For the energy relative to the elements, uncorrected, the calculation gives -780 meV per atom.


Record 2
A plane-wave DFT calculation with PBE was carried out for crystalline Pm5Dy2Te12 at its relaxed geometry.

Cell and atoms, written as POSCAR:
```
Pm5Dy2Te12
1.0
-3.0170 6.2971 -4.5538
1.5563 -8.1199 -4.6293
-9.1132 -1.5647 3.8741
Pm Dy Te
5 2 12
direct
0.2906 0.5812 0.6454
0.3264 0.6527 0.1896
0.0000 0.0000 0.5000
0.6736 0.3473 0.8104
0.7094 0.4188 0.3546
0.7458 0.0000 0.0000
0.2542 0.0000 0.0000
0.0306 0.0612 0.2137
0.0672 0.6341 0.9155
0.5669 0.6341 0.9155
0.1063 0.7067 0.4363
0.6004 0.7067 0.4363
0.4872 0.9745 0.7713
0.5128 0.0255 0.2287
0.8937 0.2933 0.5637
0.3996 0.2933 0.5637
0.9328 0.3659 0.0845
0.4330 0.3659 0.0845
0.9694 0.9388 0.7863
```

Summary:
The space group is C2/m. For the energy relative to the elements, uncorrected, the calculation gives -1191 meV per atom.


Record 3
A plane-wave DFT calculation with PBE was carried out for crystalline Pm2Dy3Te8 at its relaxed geometry.

Cell and atoms, written as POSCAR:
```
Pm2Dy3Te8
1.0
7.5555 0.0000 0.2840
0.0000 8.7665 0.0000
-2.7424 -4.3832 7.2375
Pm Dy Te
2 3 8
direct
0.3310 0.2514 0.5027
0.6690 0.7486 0.4973
0.5000 0.0000 0.0000
0.0000 0.2574 0.0000
0.0000 0.7426 0.0000
0.9092 0.6184 0.2368
0.0908 0.3816 0.7632
0.9133 0.1186 0.2373
0.0867 0.8814 0.7627
0.5886 0.6334 0.7619
0.5886 0.1285 0.7619
0.4114 0.8715 0.2381
0.4114 0.3666 0.2381
```

Summary:
The space group is C2/m. For the energy relative to the elements, uncorrected, the calculation gives -1280 meV per atom.


Record 4
A plane-wave DFT calculation with PBE was carried out for crystalline Pm2Dy2Te5 at its relaxed geometry.

Cell and atoms, written as POSCAR:
```
Pm2Dy2Te5
1.0
8.2395 0.0000 0.0000
0.0000 7.7441 -4.5314
0.0000 -0.7844 8.9381
Pm Dy Te
4 4 10
direct
0.0000 0.8027 0.1973
0.5000 0.3027 0.6973
0.0000 0.1973 0.8027
0.5000 0.6973 0.3027
0.3505 0.1453 0.1453
0.6495 0.8547 0.8547
0.8505 0.3547 0.3547
0.1495 0.6453 0.6453
0.0000 0.0000 0.0000
0.5000 0.5000 0.5000
0.1560 0.2031 0.4780
0.8440 0.5220 0.7969
0.6560 0.0220 0.2969
0.3440 0.7031 0.9780
0.8440 0.7969 0.5220
0.1560 0.4780 0.2031
0.3440 0.9780 0.7031
0.6560 0.2969 0.0220
```

Summary:
The calculation puts the polymorph energy (0 for the lowest one) at 0.000 eV per atom. The space group is Cmce. For the energy relative to the elements, uncorrected, the calculation gives -1319 meV per atom.


Record 5
A plane-wave DFT calculation with PBE was carried out for crystalline PmDy4Te2 at its relaxed geometry.

Cell and atoms, written as POSCAR:
```
PmDy4Te2
1.0
-2.7974 3.8724 2.6146
-2.7349 -1.2179 4.5491
5.3878 2.8233 7.2546
Pm Dy Te
1 4 2
direct
0.5000 0.5000 0.5000
0.7339 0.7339 0.7983
0.8661 0.8661 0.4016
0.2661 0.2661 0.2017
0.1339 0.1339 0.5984
0.6176 0.6176 0.1473
0.3824 0.3824 0.8527
```

Summary:
The space group is R-3m. For the energy relative to the elements, uncorrected, the calculation gives -495 meV per atom.


Record 6
A plane-wave DFT calculation with PBE was carried out for crystalline PmDy3Te2 at its relaxed geometry.

Cell and atoms, written as POSCAR:
```
PmDy3Te2
1.0
3.9362 0.0000 0.0000
-1.9681 11.0021 -1.1755
0.0000 -6.0398 8.8810
Pm Dy Te
2 6 4
direct
0.8893 0.7785 0.8824
0.1107 0.2215 0.1176
0.3088 0.6177 0.4857
0.9506 0.9012 0.5563
0.6330 0.2660 0.8044
0.3670 0.7340 0.1956
0.0494 0.0988 0.4437
0.6912 0.3823 0.5143
0.4873 0.9746 0.8208
0.5127 0.0254 0.1792
0.7491 0.4982 0.1874
0.2509 0.5018 0.8126
```

Summary:
The space group is C2/m. For the energy relative to the elements, uncorrected, the calculation gives -806 meV per atom.


Record 7
A plane-wave DFT calculation with PBE was carried out for crystalline Pm2Dy2Te5 at its relaxed geometry.

Cell and atoms, written as POSCAR:
```
Pm2Dy2Te5
1.0
7.8748 0.0000 0.0042
0.0000 8.2097 0.0000
-3.9324 -4.1049 9.2440
Pm Dy Te
4 4 10
direct
0.1133 0.6323 0.2015
0.8867 0.4308 0.7985
0.5888 0.1323 0.2017
0.4112 0.9305 0.7983
0.0000 0.9295 0.0000
0.5000 0.4291 0.0000
0.2757 0.4161 0.5001
0.7243 0.9160 0.4999
0.2469 0.6624 0.8805
0.7531 0.7819 0.1195
0.1335 0.1628 0.8804
0.8665 0.2823 0.1196
0.3107 0.0249 0.3077
0.6893 0.7172 0.6923
0.4969 0.5247 0.3079
0.5031 0.2169 0.6921
0.0772 0.7411 0.5000
0.9228 0.2411 0.5000
```

Summary:
The calculation puts the polymorph energy (0 for the lowest one) at 0.107 eV per atom. The space group is C2. For the energy relative to the elements, uncorrected, the calculation gives -1212 meV per atom.


Record 8
A plane-wave DFT calculation with PBE was carried out for crystalline Pm2DyTe at its relaxed geometry.

Cell and atoms, written as POSCAR:
```
Pm2DyTe
1.0
-1.4107 -3.0143 2.0907
1.6096 -0.9101 3.4681
-6.3764 4.9135 6.4758
Pm Te Dy
2 1 1
direct
0.2610 0.2610 0.2170
0.7390 0.7390 0.7830
0.0000 0.0000 0.0000
0.5000 0.5000 0.5000
```

Summary:
The calculation puts the polymorph energy (0 for the lowest one) at 0.048 eV per atom. The space group is R-3m. For the energy relative to the elements, uncorrected, the calculation gives -527 meV per atom.


Record 9
A plane-wave DFT calculation with PBE was carried out for crystalline PmDyTe3 at its relaxed geometry.

Cell and atoms, written as POSCAR:
```
PmDyTe3
1.0
-5.6455 -5.8444 -0.1655
4.8696 -4.7812 2.7333
-3.2446 2.8303 10.7316
Pm Dy Te
4 4 12
direct
0.0000 0.5000 0.0000
0.5000 0.0000 0.5000
0.5000 0.0000 0.0000
0.0000 0.5000 0.5000
0.3775 0.5565 0.7500
0.1225 0.0565 0.2500
0.6225 0.4435 0.2500
0.8775 0.9435 0.7500
0.8266 0.1595 0.0894
0.6734 0.6595 0.5894
0.6734 0.6595 0.9106
0.1734 0.8405 0.5894
0.1734 0.8405 0.9106
0.3266 0.3405 0.4106
0.3266 0.3405 0.0894
0.8266 0.1595 0.4106
0.5573 0.1696 0.7500
0.9427 0.6696 0.2500
0.4427 0.8304 0.2500
0.0573 0.3304 0.7500
```

Summary:
The calculation puts the polymorph energy (0 for the lowest one) at 0.084 eV per atom. The space group is Pnma. For the energy relative to the elements, uncorrected, the calculation gives -1325 meV per atom.


Record 10
A plane-wave DFT calculation with PBE was carried out for crystalline PmDy2Te4 at its relaxed geometry.

Cell and atoms, written as POSCAR:
```
PmDy2Te4
1.0
-3.3565 2.4724 -1.3393
0.9514 -2.5458 -7.0839
-3.4640 -5.5246 5.6404
Pm Dy Te
1 2 4
direct
0.0000 0.0000 0.0000
0.2553 0.2425 0.5107
0.7447 0.7575 0.4893
0.1248 0.7912 0.2496
0.8752 0.2088 0.7504
0.3674 0.7052 0.7348
0.6326 0.2948 0.2652
```

Summary:
The calculation puts the polymorph energy (0 for the lowest one) at 0.000 eV per atom. The space group is C2/m. For the energy relative to the elements, uncorrected, the calculation gives -1397 meV per atom.


Record 11
A plane-wave DFT calculation with PBE was carried out for crystalline PmDyTe at its relaxed geometry.

Cell and atoms, written as POSCAR:
```
PmDyTe
1.0
-1.4832 -3.2986 1.8127
10.1402 -4.7500 -0.3466
2.1076 5.1483 6.5785
Pm Dy Te
4 4 4
direct
0.9757 0.6476 0.9514
0.6145 0.8390 0.2291
0.3855 0.1610 0.7709
0.0243 0.3524 0.0486
0.7490 0.3363 0.4981
0.1912 0.0792 0.3824
0.2510 0.6637 0.5019
0.8088 0.9208 0.6176
0.6190 0.5423 0.2379
0.4258 0.8406 0.8516
0.3810 0.4577 0.7621
0.5742 0.1594 0.1484
```

Summary:
The calculation puts the polymorph energy (0 for the lowest one) at 0.079 eV per atom. The space group is C2/m. For the energy relative to the elements, uncorrected, the calculation gives -763 meV per atom.


Record 12
A plane-wave DFT calculation with PBE was carried out for crystalline Pm2DyTe at its relaxed geometry.

Cell and atoms, written as POSCAR:
```
Pm2DyTe
1.0
3.9553 0.0000 0.0000
0.0000 3.9553 0.0000
0.0000 0.0000 7.9471
Pm Te Dy
2 1 1
direct
0.0000 0.0000 0.7246
0.0000 0.0000 0.2754
0.5000 0.5000 0.5000
0.5000 0.5000 0.0000
```

Summary:
The calculation puts the polymorph energy (0 for the lowest one) at 0.000 eV per atom. The space group is P4/mmm. For the energy relative to the elements, uncorrected, the calculation gives -576 meV per atom.


Q: Which of these has the highest energy relative to the elements, uncorrected?
A: PmDy4Te2


Q: Which value of energy relative to the elements, uncorrected does entry 12 give?
A: -576 meV per atom


Q: Which formula does entry 3 have?
A: Pm2Dy3Te8